{
  "formula": "La3Tb2Pm6Sc",
  "functional": "GGA-PBE",
  "state": "optimized geometry",
  "formation_enthalpy_0k_mev_per_atom": 33,
  "magnetic_moment_mub_per_cell": 0.00,
  "n_ef_per_ev_cell": 19.26,
  "lattice_angstrom": [[-4.569, -4.134, 1.260], [1.911, 0.872, -5.928], [8.984, -7.443, 2.915]],
  "species": ["La", "La", "La", "Pm", "Pm", "Pm", "Pm", "Pm", "Pm", "Tb", "Tb", "Sc"],
  "fractional_positions": [[0.500, 0.500, 0.500], [0.167, 0.833, 0.500], [0.833, 0.167, 0.500], [0.250, 0.250, 0.758], [0.080, 0.410, 0.242], [0.920, 0.590, 0.758], [0.410, 0.080, 0.242], [0.590, 0.920, 0.758], [0.750, 0.750, 0.242], [0.333, 0.667, 0.000], [0.667, 0.333, 0.000], [0.000, 0.000, 0.000]]
}

***

{
  "formula": "NbTlW2C",
  "functional": "GGA-PBE",
  "state": "optimized geometry",
  "formation_enthalpy_0k_mev_per_atom": 3167,
  "magnetic_moment_mub_per_cell": 0.50,
  "n_ef_per_ev_cell": 3.73,
  "lattice_angstrom": [[5.124, 0.000, 0.000], [0.000, 3.888, 0.000], [0.000, 0.000, 5.124]],
  "species": ["Nb", "Tl", "W", "W", "C"],
  "fractional_positions": [[0.500, 0.500, 0.500], [0.000, 0.000, 0.000], [0.000, 0.000, 0.500], [0.500, 0.000, 0.000], [0.000, 0.500, 0.000]]
}

***

{
  "formula": "RbNbIn3",
  "functional": "GGA-PBE",
  "state": "optimized geometry",
  "formation_enthalpy_0k_mev_per_atom": 1952,
  "de_polymorph_mev_per_atom": 1713,
  "magnetic_moment_mub_per_cell": 0.00,
  "n_ef_per_ev_cell": 7.04,
  "lattice_angstrom": [[-0.948, 2.475, -5.088], [4.028, -3.327, -2.369], [-3.973, -3.964, -1.188]],
  "species": ["Rb", "In", "In", "In", "Nb"],
  "fractional_positions": [[0.000, 0.000, 0.000], [0.000, 0.000, 0.500], [0.000, 0.500, 0.000], [0.500, 0.000, 0.000], [0.500, 0.500, 0.500]]
}